No. 1
The following is a PBE calculation of an optimized crystal structure of SrOs3O, from Alexandria.

The electronic total energy comes out at -0.5153 Ry per atom. The calculation puts the uncorrected formation energy at 1054.5 meV/atom.

The space group is Pm-3m (No. 221) and the conventional cell measures 4.2904, 4.2904 and 4.2904 Å, with angles of 90.00, 90.00 and 90.00 degrees. Symmetry generates all atoms from Sr at (0.0000, 0.0000, 0.0000), Os at (0.0000, 0.5000, 0.5000) and O at (0.5000, 0.5000, 0.5000).

No. 2
The following is a PBE calculation of an optimized crystal structure of SrOsO3, from Alexandria.

The electronic total energy comes out at -0.5206 Ry per atom. The calculation puts the uncorrected formation energy at -1526.2 meV/atom.

The space group is C2/m (No. 12) and the conventional cell measures 11.0691, 3.9197 and 6.6716 Å, with angles of 90.00, 99.74 and 90.00 degrees. Symmetry generates all atoms from Sr at (0.1237, 0.0000, 0.3710), Os at (0.1329, 0.5000, 0.9182), O at (0.0507, 0.5000, 0.1709), O at (0.1616, 0.5000, 0.6302) and O at (0.1772, 0.0000, 0.9608).